CrCo3: relaxed, GGA-PBEsol.

Calculated values
E_form = 0.07 eV/atom
volume = 10.27 Å³ per atom
crystal system = monoclinic
excess energy over the best structure of this formula in the dataset = 0.112 eV/atom

```
CrCo3
1.0
8.0932 0.0000 0.0000
0.0000 2.4359 0.0000
-0.7254 0.0000 4.1675
Cr Co
2 6
Direct
0.0000 0.0000 0.0000
0.5000 0.5000 0.0000
0.0000 0.5000 0.5000
0.2484 0.0000 0.7478
0.2516 0.5000 0.2522
0.5000 0.0000 0.5000
0.7484 0.5000 0.7478
0.7516 0.0000 0.2522
```